{"formula": "AcNdGdTh", "functional": "GGA-PBE", "state": "optimized geometry", "n_ef_per_ev_atom": 2.1763, "energy_ev_per_atom": -7.421, "space_group": "F-43m", "lattice": [[-1.489, 1.950, -5.337], [-2.143, -3.732, -3.998], [-5.659, 0.286, -1.549]], "species": ["Gd", "Nd", "Th", "Ac"], "frac_coords": [[0.250, 0.250, 0.250], [0.750, 0.750, 0.750], [0.000, 0.000, 0.000], [0.500, 0.500, 0.500]]}